[1]
Here is an optimized crystal structure of Li6CaCd6 from Alexandria. Energies are from GGA-PBE.

Cell and atoms, written as POSCAR:
```
Li6CaCd6
1.0
5.4081 0.0000 0.0000
2.7041 6.9961 -0.0942
2.7041 0.0733 6.9963
Cd Li Ca
6 6 1
direct
0.7046 0.7954 0.7954
0.3511 0.6489 0.6489
0.0000 0.3430 0.6570
0.2954 0.2046 0.2046
0.6489 0.3511 0.3511
0.0000 0.6570 0.3430
0.5000 0.0000 0.5000
0.5000 0.7793 0.2207
0.0000 0.0000 0.5000
0.0000 0.5000 0.0000
0.5000 0.2207 0.7793
0.5000 0.5000 0.0000
0.0000 0.0000 0.0000
```

DOS at the Fermi energy in states/eV per cell: 6.13
Calculated formation energy in eV per atom: -0.21
SG: Immm (71)

***

[2]
Here is an optimized crystal structure of Li2Ca6Cd from Alexandria. Energies are from GGA-PBE.

Cell and atoms, written as POSCAR:
```
Li2Ca6Cd
1.0
5.5535 0.0000 0.2868
0.0000 10.5451 0.0000
-0.5457 0.0000 10.5368
Ca Cd Li
12 2 4
direct
0.5001 0.8121 0.0276
0.9999 0.3783 0.1204
0.0000 0.9739 0.8119
0.4999 0.1217 0.6204
0.5001 0.8783 0.3796
0.5000 0.5261 0.3119
0.4999 0.1880 0.9724
0.0001 0.6879 0.5276
0.5000 0.4739 0.6881
0.9999 0.3120 0.4724
0.0001 0.6217 0.8796
0.0000 0.0261 0.1881
0.0000 0.0000 0.5000
0.5000 0.5000 0.0000
0.5000 0.1991 0.2988
0.0000 0.6991 0.2012
0.0000 0.3009 0.7988
0.5000 0.8009 0.7012
```

DOS at the Fermi energy in states/eV per cell: 20.95
Energy relative to the lowest polymorph listed for this composition in meV per atom: 13
Calculated formation energy in eV per atom: -0.06
SG: Pnnm (58)

***

[3]
Here is an optimized crystal structure of Li3Ca3Cd2 from Alexandria. Energies are from GGA-PBE.

Cell and atoms, written as POSCAR:
```
Li3Ca3Cd2
1.0
5.2982 0.0000 0.0000
0.0000 5.3084 0.0000
0.0000 0.0000 7.7484
Li Cd Ca
3 2 3
direct
0.5000 0.5000 0.2341
0.5000 0.5000 0.7659
0.5000 0.0000 0.0000
0.0000 0.0000 0.2348
0.0000 0.0000 0.7652
0.5000 0.0000 0.5000
0.0000 0.5000 0.0000
0.0000 0.5000 0.5000
```

DOS at the Fermi energy in states/eV per cell: 6.04
Energy relative to the lowest polymorph listed for this composition in meV per atom: 34
Calculated formation energy in eV per atom: -0.14
SG: Pmmm (47)

***

[4]
Here is an optimized crystal structure of LiCa2Cd2 from Alexandria. Energies are from GGA-PBE.

Cell and atoms, written as POSCAR:
```
LiCa2Cd2
1.0
-5.7579 5.6130 -4.0627
-6.3024 -2.0475 6.1034
1.1759 2.7537 2.1380
Ca Cd Li
4 4 2
direct
0.3530 0.8530 0.0000
0.1470 0.3530 0.0000
0.8530 0.6470 0.0000
0.6470 0.1470 0.0000
0.1479 0.6479 0.5000
0.6479 0.8521 0.5000
0.8521 0.3521 0.5000
0.3521 0.1479 0.5000
0.5000 0.5000 0.0000
0.0000 0.0000 0.0000
```

DOS at the Fermi energy in states/eV per cell: 7.36
Energy relative to the lowest polymorph listed for this composition in meV per atom: 149
Calculated formation energy in eV per atom: -0.11
SG: P4/mbm (127)

***

[5]
Here is an optimized crystal structure of Li9CaCd2 from Alexandria. Energies are from GGA-PBE.

Cell and atoms, written as POSCAR:
```
Li9CaCd2
1.0
5.7268 0.0000 0.0000
2.8634 4.9596 0.0000
2.8634 1.6532 8.7491
Li Cd Ca
9 2 1
direct
0.4002 0.4002 0.2755
0.9241 0.4002 0.2755
0.5000 0.5000 0.5000
0.4002 0.9241 0.2755
0.6620 0.6620 0.0140
0.5998 0.5998 0.7245
0.0759 0.5998 0.7245
0.3380 0.3380 0.9860
0.5998 0.0759 0.7245
0.8611 0.8611 0.4167
0.1389 0.1389 0.5833
0.0000 0.0000 0.0000
```

DOS at the Fermi energy in states/eV per cell: 4.01
Energy relative to the lowest polymorph listed for this composition in meV per atom: 57
Calculated formation energy in eV per atom: -0.04
SG: R-3m (166)

***

[6]
Here is an optimized crystal structure of LiCa4Cd from Alexandria. Energies are from GGA-PBE.

Cell and atoms, written as POSCAR:
```
LiCa4Cd
1.0
5.4388 0.0001 -0.0008
-0.0001 5.4439 -0.0005
0.0050 0.0087 7.7003
Li Ca Cd
1 4 1
direct
0.0011 0.9977 0.4984
0.5012 0.9969 0.2411
0.0012 0.4973 0.2413
0.0015 0.4974 0.7549
0.5013 0.9975 0.7551
0.5015 0.4969 0.9980
```

DOS at the Fermi energy in states/eV per cell: 5.88
Energy relative to the lowest polymorph listed for this composition in meV per atom: 168
Calculated formation energy in eV per atom: 0.05
SG: Pm (6)

***

[7]
Here is an optimized crystal structure of LiCaCd from Alexandria. Energies are from GGA-PBE.

Cell and atoms, written as POSCAR:
```
LiCaCd
1.0
-0.1805 0.5975 4.3540
0.4657 -4.3305 0.6135
8.0621 2.7793 -2.2688
Cd Li Ca
2 2 2
direct
0.8856 0.8856 0.7712
0.1144 0.1144 0.2288
0.5000 0.0000 0.0000
0.0000 0.5000 0.0000
0.3215 0.3215 0.6431
0.6785 0.6785 0.3569
```

DOS at the Fermi energy in states/eV per cell: 3.71
Energy relative to the lowest polymorph listed for this composition in meV per atom: 17
Calculated formation energy in eV per atom: -0.23
SG: I4/mmm (139)

***

[8]
Here is an optimized crystal structure of Li4CaCd3 from Alexandria. Energies are from GGA-PBE.

Cell and atoms, written as POSCAR:
```
Li4CaCd3
1.0
4.7746 0.0000 0.0000
0.0000 7.3223 0.0000
0.0000 0.0000 9.5586
Cd Li Ca
6 8 2
direct
0.4930 0.0000 0.2500
0.5016 0.5000 0.7500
0.4984 0.5000 0.2500
0.5070 0.0000 0.7500
0.0000 0.0000 0.0000
0.0000 0.0000 0.5000
0.0066 0.7865 0.7500
0.5000 0.7867 0.0000
0.9934 0.7865 0.2500
0.5000 0.7867 0.5000
0.9934 0.2135 0.2500
0.0066 0.2135 0.7500
0.5000 0.2133 0.0000
0.5000 0.2133 0.5000
0.0000 0.5000 0.5000
0.0000 0.5000 0.0000
```

DOS at the Fermi energy in states/eV per cell: 8.38
Calculated formation energy in eV per atom: -0.19
SG: Pmma (51)

***

[9]
Here is an optimized crystal structure of LiCaCd from Alexandria. Energies are from GGA-PBE.

Cell and atoms, written as POSCAR:
```
LiCaCd
1.0
-2.2332 1.7097 4.2466
-1.2324 -3.2564 3.7176
2.5810 0.0525 4.3908
Ca Li Cd
1 1 1
direct
0.5000 0.5000 0.5000
0.0000 0.0000 0.0000
0.2500 0.2500 0.2500
```

DOS at the Fermi energy in states/eV per cell: 2.10
Energy relative to the lowest polymorph listed for this composition in meV per atom: 219
Calculated formation energy in eV per atom: -0.03
SG: F-43m (216)

***

[10]
Here is an optimized crystal structure of LiCa3Cd8 from Alexandria. Energies are from GGA-PBE.

Cell and atoms, written as POSCAR:
```
LiCa3Cd8
1.0
5.9437 0.0000 0.0000
2.9719 5.1474 0.0000
2.9719 1.7158 9.8267
Ca Cd Li
3 8 1
direct
0.5028 0.5028 0.4915
0.3762 0.3762 0.8713
0.9961 0.9961 0.0116
0.6872 0.6872 0.9383
0.4393 0.9378 0.6851
0.9378 0.4393 0.6851
0.9368 0.4370 0.1893
0.1881 0.1881 0.4356
0.4370 0.4370 0.1893
0.9378 0.9378 0.6851
0.4370 0.9368 0.1893
0.8738 0.8738 0.3785
```

DOS at the Fermi energy in states/eV per cell: 7.64
Calculated formation energy in eV per atom: -0.26
SG: R3m (160)

***

[11]
Here is an optimized crystal structure of LiCaCd2 from Alexandria. Energies are from GGA-PBE.

Cell and atoms, written as POSCAR:
```
LiCaCd2
1.0
-0.9917 2.8040 -9.0645
-0.5475 -0.8193 -9.4889
-3.8682 0.5454 -8.7035
Ca Cd Li
1 2 1
direct
0.7475 0.7475 0.7475
0.9916 0.9916 0.9916
0.2481 0.2481 0.2481
0.5128 0.5128 0.5128
```

DOS at the Fermi energy in states/eV per cell: 1.98
Energy relative to the lowest polymorph listed for this composition in meV per atom: 259
Calculated formation energy in eV per atom: -0.03
SG: R3m (160)

***

[12]
Here is an optimized crystal structure of LiCa2Cd7 from Alexandria. Energies are from GGA-PBE.

Cell and atoms, written as POSCAR:
```
LiCa2Cd7
1.0
-3.3704 6.2546 -1.4099
-5.7225 2.0040 3.9629
0.5630 5.5415 4.6306
Cd Ca Li
7 2 1
direct
0.7649 0.2351 0.2351
0.7649 0.7649 0.2351
0.2351 0.2351 0.7649
0.2351 0.7649 0.7649
0.2351 0.7649 0.2351
0.5000 0.5000 0.5000
0.7649 0.2351 0.7649
0.2500 0.2500 0.2500
0.7500 0.7500 0.7500
0.0000 0.0000 0.0000
```

DOS at the Fermi energy in states/eV per cell: 5.21
Calculated formation energy in eV per atom: -0.01
SG: Fm-3m (225)

***

Short version: spin magnetization = 0.00; 0.00; 0.00; 0.00; 0.00; 0.00; 0.00; 0.00; 0.00; 0.00; 0.00; 0.00 μB/f.u., in the order given.
Short version: total energy = -0.0613; -0.0707; -0.0675; -0.0611; -0.0659; -0.0644; -0.0677; -0.0640; -0.0602; -0.0563; -0.0539; -0.0457 Ha/atom, in the order given.